The following is a DFT calculation (PBE) of a relaxed Tb3Tm5Sc3 crystal.

Geometry as CIF:
```
data_Tb3Tm5Sc3
_cell_length_a 5.505
_cell_length_b 9.241
_cell_length_c 9.241
_cell_angle_alpha 120.00
_cell_angle_beta 90.00
_cell_angle_gamma 90.00
_symmetry_space_group_name_H-M 'P 1'
_symmetry_Int_Tables_number 1
_symmetry_space_group_name_Hall 'P 1'
loop_
_atom_site_label
_atom_site_fract_x
_atom_site_fract_y
_atom_site_fract_z
_atom_site_occupancy
Tb1 0.000 0.468 0.468 1
Tb2 0.000 0.532 0.000 1
Tb3 0.000 0.000 0.532 1
Tm1 0.500 0.333 0.667 1
Tm2 0.500 0.667 0.333 1
Tm3 0.500 0.258 0.258 1
Tm4 0.500 0.000 0.742 1
Tm5 0.500 0.742 0.000 1
Sc1 0.500 0.621 0.621 1
Sc2 0.500 0.000 0.379 1
Sc3 0.500 0.379 0.000 1
```

Calculated values
Its formation energy is 775 meV per atom. The value obtained for the final energy is -4.247 eV per atom. Its symmetry is P-62m (189).